Entry 1:
An optimized crystal structure of Li3PtF7, computed with PBE-GGA.

Calculated values
raw formation energy = -2.239 eV per atom
M_tot = 0.0 μB per formula unit

Unit cell a=5.1451 b=5.1451 c=5.6602 alpha=103.15 beta=103.15 gamma=92.47
Closest atoms and distances in Å follow each position.
Positions (direct):
Li 0.0000 0.0000 0.0000  3 F 1.80-1.91
Li 0.1241 0.6744 0.5639  4 F 1.81-2.01
Li 0.6744 0.1241 0.5639  4 F 1.81-2.01
Pt 0.5220 0.5220 0.1639  6 F 1.96-1.99
F 0.2493 0.6320 0.9104  1 Pt 1.97, 1 Li 1.98
F 0.2663 0.2663 0.2291  1 Li 1.91, 1 Pt 1.97
F 0.4130 0.7943 0.4237  2 Li 1.98-2.01, 1 Pt 1.99
F 0.6320 0.2493 0.9104  1 Pt 1.97, 1 Li 1.98
F 0.7880 0.7880 0.1319  1 Li 1.89, 1 Pt 1.96
F 0.7943 0.4130 0.4237  2 Li 1.98-2.01, 1 Pt 1.99
F 0.9816 0.9816 0.6743  3 Li 1.80-1.81

Entry 2:
An optimized crystal structure of TaBe3Cl, computed with PBE-GGA.

Calculated values
raw formation energy = 1.813 eV per atom
distance to the lowest polymorph of the same formula = 58.3 kJ/mol of atoms
M_tot = 1.6 μB per formula unit

Unit cell a=4.8114 b=4.8114 c=4.8114 alpha=90.00 beta=90.00 gamma=90.00
Closest atoms and distances in Å follow each position.
Positions (direct):
Ta 0.0000 0.0000 0.0000  6 Be 2.41
Be 0.0000 0.0000 0.5000  2 Ta 2.41
Be 0.0000 0.5000 0.0000  2 Ta 2.41
Be 0.5000 0.0000 0.0000  2 Ta 2.41
Cl 0.5000 0.5000 0.5000  12 Be 3.40